No. 1
# GaSeN2F

A relaxed structure of GaSeN2F (GGA-PBE, Alexandria).

Values from the calculation:
Distance to the lowest polymorph of the same formula: 186 meV per atom
SG: P4/mmm, No. 123
Energy relative to the elements, uncorrected: 0.824 eV/atom
DFT total energy: -0.307 Ry per atom

Cell lengths 3.7903, 3.7903, 4.7395 Å; angles 90.00, 90.00, 90.00 degrees
Sites, in units of the cell vectors:
1 Ga 0.0000 0.0000 0.0000
2 Se 0.5000 0.5000 0.5000
3 N 0.0000 0.5000 0.5000
4 N 0.5000 0.0000 0.5000
5 F 0.5000 0.5000 0.0000

---

No. 2
# PmNdEuSn

A relaxed structure of PmNdEuSn (GGA-PBE, Alexandria).

Values from the calculation:
Formation enthalpy at 0 K: -0.288 eV/atom
SG: F-43m, No. 216
DFT total energy: -0.458 Ry per atom

Cell lengths 5.5798, 5.5798, 5.5798 Å; angles 60.00, 60.00, 60.00 degrees
Sites, in units of the cell vectors:
1 Pm 0.0000 0.0000 0.0000
2 Nd 0.5000 0.5000 0.5000
3 Eu 0.7500 0.7500 0.7500
4 Sn 0.2500 0.2500 0.2500

---

No. 3
# Ga2Pd2Pb

A relaxed structure of Ga2Pd2Pb (GGA-PBE, Alexandria).

Values from the calculation:
Formation enthalpy at 0 K: -0.353 eV/atom
SG: I4/mmm, No. 139
DFT total energy: -0.322 Ry per atom

Cell lengths 6.0013, 6.0013, 6.0013 Å; angles 137.39, 137.39, 61.84 degrees
Sites, in units of the cell vectors:
1 Ga 0.1242 0.1242 0.0000
2 Ga 0.8758 0.8758 0.0000
3 Pd 0.2500 0.7500 0.5000
4 Pd 0.7500 0.2500 0.5000
5 Pb 0.5000 0.5000 0.0000

---

No. 4
# Tm13Th2

A relaxed structure of Tm13Th2 (GGA-PBE, Alexandria).

Values from the calculation:
Formation enthalpy at 0 K: 0.063 eV/atom
SG: P-1, No. 2
DFT total energy: -0.353 Ry per atom

Cell lengths 6.5157, 8.6461, 8.8910 Å; angles 69.03, 84.01, 80.70 degrees
Sites, in units of the cell vectors:
1 Tm 0.0000 0.0000 0.0000
2 Tm 0.0952 0.4266 0.6909
3 Tm 0.1406 0.2004 0.2629
4 Tm 0.2385 0.5768 0.9741
5 Tm 0.3334 0.9988 0.6657
6 Tm 0.4289 0.4261 0.3595
7 Tm 0.4636 0.1967 0.9344
8 Tm 0.5364 0.8033 0.0656
9 Tm 0.5711 0.5739 0.6405
10 Tm 0.6666 0.0012 0.3343
11 Tm 0.7615 0.4232 0.0259
12 Tm 0.8594 0.7996 0.7371
13 Tm 0.9048 0.5734 0.3091
14 Th 0.1975 0.8102 0.3949
15 Th 0.8025 0.1898 0.6051